Entry 1:
Below is a relaxed MnCoHg2 crystal, with properties calculated at the PBE level.

Computed properties:
DFT formation energy: 0.46 eV per atom
magnetization: 5.1 μB/f.u.

Lattice parameters (Å, degrees): 4.7938 4.7938 5.0435 77.53 77.53 38.23
Each line ends with the local moment (μB).
Fractional coordinates of all 4 atoms:
Co: 0.7500 0.7500 0.7500  1.43
Mn: 0.2500 0.2500 0.2500  3.70
Hg: 0.4954 0.4954 0.5070  -0.05
Hg: 0.0046 0.0046 0.9930  -0.05


Entry 2:
Below is a relaxed Mn2CoHgPt crystal, with properties calculated at the PBE level.

Computed properties:
DFT formation energy: 0.85 eV per atom
magnetization: 8.4 μB/f.u.

Lattice parameters (Å, degrees): 4.3780 4.7720 4.3780 90.00 90.00 90.00
Each line ends with the local moment (μB).
Fractional coordinates of all 5 atoms:
Pt: 0.5000 0.5000 0.5000  -0.04
Co: 0.0000 0.0000 0.0000  0.97
Hg: 0.0000 0.5000 0.0000  -0.05
Mn: 0.5000 0.0000 0.0000  3.71
Mn: 0.0000 0.0000 0.5000  3.48


Entry 3:
Below is a relaxed MnCoSi2Hg crystal, with properties calculated at the PBE level.

Computed properties:
total DFT energy (no corrections): -0.2772 Ry per atom
magnetization: 5.9 μB/f.u.

Lattice parameters (Å, degrees): 4.8950 4.8950 5.0037 90.00 90.00 90.00
Each line ends with the local moment (μB).
Fractional coordinates of all 5 atoms:
Hg: 0.0000 0.0000 0.0000  -0.03
Mn: 0.0000 0.0000 0.5000  3.98
Co: 0.5000 0.5000 0.5000  2.05
Si: 0.5000 0.0000 0.0000  -0.05
Si: 0.0000 0.5000 0.0000  -0.05